This record from the Alexandria database describes crystalline SrTlW at its relaxed geometry. The functional is PBEsol.

Output
Volume = 22.9 A^3/atom
Energy of formation = 980 meV/atom
SG = P3m1

Lattice parameters (Å, degrees): 3.1743 3.1743 7.8879 90.00 90.00 120.00
Fractional positions:
Sr 0.0000 0.0000 0.0138
Tl 0.3333 0.6667 0.6419
W 0.6667 0.3333 0.3443

=====

This record from the Alexandria database describes crystalline NaAlGeO4 at its relaxed geometry. The functional is PBEsol.

Output
Formation energy without anion corrections = -15.72 eV/f.u.
Volume = 13.4 A^3/atom
SG = P2_1/c

Lattice parameters (Å, degrees): 8.2660 8.8004 15.4489 89.91 90.00 90.00
Fractional positions:
Na 0.9744 0.7772 0.9346
Na 0.4744 0.7228 0.5654
Na 0.0256 0.2228 0.0654
Na 0.5256 0.2772 0.4346
Na 0.5328 0.7321 0.9099
Na 0.0328 0.7679 0.5901
Na 0.4672 0.2679 0.0901
Na 0.9672 0.2321 0.4099
Na 0.5430 0.2560 0.7467
Na 0.0430 0.2440 0.7533
Na 0.4570 0.7440 0.2533
Na 0.9570 0.7560 0.2467
Al 0.8346 0.4409 0.9080
Al 0.3346 0.0591 0.5920
Al 0.1654 0.5591 0.0920
Al 0.6654 0.9409 0.4080
Al 0.8309 0.3998 0.5771
Al 0.3309 0.1003 0.9229
Al 0.1691 0.6002 0.4229
Al 0.6691 0.8998 0.0771
Al 0.8300 0.9222 0.7631
Al 0.3300 0.5778 0.7369
Al 0.1700 0.0778 0.2369
Al 0.6700 0.4222 0.2631
Ge 0.7176 0.1099 0.9211
Ge 0.2176 0.3901 0.5789
Ge 0.2824 0.8901 0.0789
Ge 0.7824 0.6099 0.4211
Ge 0.7227 0.0621 0.5907
Ge 0.2227 0.4379 0.9093
Ge 0.2773 0.9379 0.4093
Ge 0.7773 0.5621 0.0907
Ge 0.7182 0.5803 0.7331
Ge 0.2182 0.9197 0.7669
Ge 0.2818 0.4197 0.2669
Ge 0.7818 0.0803 0.2331
O 0.5299 0.9834 0.6070
O 0.0299 0.5166 0.8930
O 0.4701 0.0166 0.3930
O 0.9701 0.4834 0.1070
O 0.5235 0.1710 0.9500
O 0.0235 0.3290 0.5500
O 0.4765 0.8290 0.0500
O 0.9765 0.6710 0.4500
O 0.5230 0.5706 0.6884
O 0.0230 0.9294 0.8116
O 0.4770 0.4294 0.3116
O 0.9770 0.0706 0.1884
O 0.8557 0.9482 0.6509
O 0.3557 0.5518 0.8491
O 0.1443 0.0518 0.3491
O 0.6443 0.4482 0.1509
O 0.8523 0.2550 0.9493
O 0.3523 0.2450 0.5507
O 0.1477 0.7450 0.0507
O 0.6477 0.7550 0.4493
O 0.7269 0.2503 0.6293
O 0.8506 0.5598 0.6453
O 0.1494 0.4402 0.3547
O 0.6494 0.0598 0.1453
O 0.7325 0.5658 0.9793
O 0.2325 0.9342 0.5207
O 0.2675 0.4342 0.0207
O 0.7675 0.0658 0.4793
O 0.7671 0.9429 0.9780
O 0.2671 0.5571 0.5220
O 0.2329 0.0571 0.0220
O 0.7329 0.4429 0.4780
O 0.7417 0.7480 0.7927
O 0.2417 0.7520 0.7073
O 0.2583 0.2520 0.2073
O 0.7583 0.2480 0.2927
O 0.7620 0.9288 0.3067
O 0.2620 0.5712 0.1933
O 0.2380 0.0712 0.6933
O 0.7380 0.4288 0.8067
O 0.7777 0.5748 0.3091
O 0.2777 0.9252 0.1909
O 0.2223 0.4252 0.6909
O 0.7223 0.0748 0.8091
O 0.7731 0.7503 0.1293
O 0.2731 0.7497 0.3707
O 0.2269 0.2497 0.8707
O 0.3506 0.9402 0.8547

=====

This record from the Alexandria database describes crystalline GaSbHPd2 at its relaxed geometry. The functional is PBEsol.

Output
Volume = 17.4 A^3/atom
Total energy = -0.3212 Ry/atom
SG = P4/mmm

Lattice parameters (Å, degrees): 3.5084 4.9779 4.9779 90.00 90.00 90.00
Fractional positions:
Sb 0.0000 0.0000 0.0000
Ga 0.5000 0.5000 0.5000
Pd 0.0000 0.0000 0.5000
Pd 0.0000 0.5000 0.0000
H 0.5000 0.0000 0.0000

=====

This record from the Alexandria database describes crystalline Hf2CoTc at its relaxed geometry. The functional is PBEsol.

Output
Volume = 15.8 A^3/atom
Energy of formation = -486 meV/atom
SG = Fm-3m

Lattice parameters (Å, degrees): 4.4738 4.4738 4.4738 60.00 60.00 60.00
Fractional positions:
Co 0.0000 0.0000 0.0000
Hf 0.7500 0.7500 0.7500
Hf 0.2500 0.2500 0.2500
Tc 0.5000 0.5000 0.5000

=====

This record from the Alexandria database describes crystalline La2ZnPt at its relaxed geometry. The functional is PBEsol.

Output
Volume = 25.1 A^3/atom
Energy of formation = -673 meV/atom
SG = Amm2

Lattice parameters (Å, degrees): 4.0063 4.4887 5.9292 90.00 109.75 90.00
Fractional positions:
Zn 0.5566 0.5000 0.1132
Pt 0.6983 0.0000 0.3966
La 0.9906 0.0000 0.9812
La 0.2680 0.5000 0.5360

=====

This record from the Alexandria database describes crystalline TlGe3B at its relaxed geometry. The functional is PBEsol.

Output
Volume = 28.9 A^3/atom
Energy of formation = 1992 meV/atom
SG = Pm-3m

Lattice parameters (Å, degrees): 5.2459 5.2459 5.2459 90.00 90.00 90.00
Fractional positions:
Tl 0.0000 0.0000 0.0000
B 0.5000 0.5000 0.5000
Ge 0.0000 0.5000 0.0000
Ge 0.0000 0.0000 0.5000
Ge 0.5000 0.0000 0.0000

=====

This record from the Alexandria database describes crystalline YAg2 at its relaxed geometry. The functional is PBEsol.

Output
Volume = 20.4 A^3/atom
Energy of formation = -342 meV/atom
SG = I4/mmm

Lattice parameters (Å, degrees): 3.6700 3.6700 5.2366 110.52 110.52 89.98
Fractional positions:
Y 0.5000 0.5000 0.0000
Ag 0.8290 0.8290 0.6579
Ag 0.1710 0.1710 0.3421

=====

This record from the Alexandria database describes crystalline KLaSb2 at its relaxed geometry. The functional is PBEsol.

Output
Formation energy without anion corrections = -2.93 eV/f.u.
Volume = 33.3 A^3/atom
SG = P4/mmm

Lattice parameters (Å, degrees): 4.2611 4.2611 7.3320 90.00 90.00 90.00
Fractional positions:
K 0.5000 0.5000 0.0000
La 0.5000 0.5000 0.5000
Sb 0.0000 0.0000 0.6972
Sb 0.0000 0.0000 0.3028

=====

This record from the Alexandria database describes crystalline AlSb2Pb at its relaxed geometry. The functional is PBEsol.

Output
Formation energy without anion corrections = 0.46 eV/f.u.
Volume = 25.0 A^3/atom
SG = P2/m

Lattice parameters (Å, degrees): 3.4229 3.6134 8.0690 90.00 89.93 90.00
Fractional positions:
Pb 0.5000 0.5000 0.5000
Sb 0.9991 0.0000 0.7912
Sb 0.0009 0.0000 0.2088
Al 0.5000 0.5000 0.0000

=====

This record from the Alexandria database describes crystalline SrTaPb at its relaxed geometry. The functional is PBEsol.

Output
Volume = 26.4 A^3/atom
Energy of formation = 549 meV/atom
SG = Imm2

Lattice parameters (Å, degrees): 3.2879 4.0560 6.4911 108.21 104.67 90.00
Fractional positions:
Pb 0.9720 0.9720 0.9440
Sr 0.6696 0.6696 0.3393
Ta 0.3584 0.3584 0.7167

=====

This record from the Alexandria database describes crystalline YTlPt at its relaxed geometry. The functional is PBEsol.

Output
Volume = 21.6 A^3/atom
Energy of formation = -674 meV/atom
SG = P-6m2

Lattice parameters (Å, degrees): 4.6915 4.6915 3.3996 90.00 90.00 120.00
Fractional positions:
Pt 0.0000 0.0000 0.8336
Tl 0.3333 0.6667 0.8332
Y 0.6667 0.3333 0.3333

=====

This record from the Alexandria database describes crystalline Sr3MgPt at its relaxed geometry. The functional is PBEsol.

Output
Volume = 39.5 A^3/atom
Energy of formation = -325 meV/atom
SG = Pm-3m

Lattice parameters (Å, degrees): 5.8221 5.8221 5.8221 90.00 90.00 90.00
Fractional positions:
Sr 0.0000 0.5000 0.0000
Sr 0.0000 0.0000 0.5000
Sr 0.5000 0.0000 0.0000
Mg 0.5000 0.5000 0.5000
Pt 0.0000 0.0000 0.0000

=====

This record from the Alexandria database describes crystalline MgAsAu2F at its relaxed geometry. The functional is PBEsol.

Output
Formation energy without anion corrections = -1.97 eV/f.u.
Volume = 17.9 A^3/atom
SG = P4/mmm

Lattice parameters (Å, degrees): 3.5434 5.0229 5.0229 90.00 90.00 90.00
Fractional positions:
As 0.5000 0.5000 0.5000
Au 0.0000 0.0000 0.5000
Au 0.0000 0.5000 0.0000
Mg 0.5000 0.0000 0.0000
F 0.0000 0.0000 0.0000

=====

This record from the Alexandria database describes crystalline CaSi at its relaxed geometry. The functional is PBEsol.

Output
Formation energy without anion corrections = -1.17 eV/f.u.
Volume = 23.0 A^3/atom
SG = Cmcm

Lattice parameters (Å, degrees): 3.8664 4.4753 5.7787 112.78 90.00 90.00
Fractional positions:
Ca 0.2500 0.8605 0.7209
Ca 0.7500 0.1395 0.2791
Si 0.2500 0.5691 0.1382
Si 0.7500 0.4309 0.8618

=====

This record from the Alexandria database describes crystalline Cu2ReRu at its relaxed geometry. The functional is PBEsol.

Output
Volume = 13.1 A^3/atom
Energy of formation = 136 meV/atom
SG = R3m

Lattice parameters (Å, degrees): 2.6726 2.6726 8.5824 81.04 81.04 60.00
Fractional positions:
Cu 0.0025 0.0025 0.9925
Cu 0.7469 0.7469 0.7594
Re 0.5009 0.5009 0.4972
Ru 0.2497 0.2497 0.2509

=====

This record from the Alexandria database describes crystalline ZnCuPt2 at its relaxed geometry. The functional is PBEsol.

Output
Volume = 13.8 A^3/atom
Energy of formation = -273 meV/atom
SG = C2/m

Lattice parameters (Å, degrees): 2.7592 2.7592 8.5319 80.62 80.62 60.10
Fractional positions:
Zn 0.5000 0.5000 0.5000
Pt 0.2502 0.2502 0.2503
Pt 0.7500 0.7500 0.7497
Cu 0.0000 0.0000 0.0000

=====

This record from the Alexandria database describes crystalline ZnIn2Te4 at its relaxed geometry. The functional is PBEsol.

Output
Formation energy without anion corrections = -2.25 eV/f.u.
Volume = 32.6 A^3/atom
SG = I-4

Lattice parameters (Å, degrees): 6.0928 6.0928 7.5038 113.95 113.95 90.00
Fractional positions:
Zn 0.0000 0.0000 0.0000
Te 0.9266 0.4035 0.2682
Te 0.3415 0.8646 0.2682
Te 0.1354 0.0734 0.7318
Te 0.5965 0.6585 0.7318
In 0.5000 0.5000 0.0000
In 0.7500 0.2500 0.5000

=====

This record from the Alexandria database describes crystalline RbInTc2H at its relaxed geometry. The functional is PBEsol.

Output
Volume = 21.5 A^3/atom
Total energy = -0.2934 Ry/atom
SG = P4/mmm

Lattice parameters (Å, degrees): 3.7282 5.3724 5.3724 90.00 90.00 90.00
Fractional positions:
H 0.5000 0.0000 0.0000
Tc 0.0000 0.0000 0.5000
Tc 0.0000 0.5000 0.0000
Rb 0.5000 0.5000 0.5000
In 0.0000 0.0000 0.0000

=====

This record from the Alexandria database describes crystalline BaZn2SiTc at its relaxed geometry. The functional is PBEsol.

Output
Formation energy without anion corrections = 4.85 eV/f.u.
Volume = 25.1 A^3/atom
SG = P4/mmm

Lattice parameters (Å, degrees): 4.8569 4.8569 5.3214 90.00 90.00 90.00
Fractional positions:
Zn 0.0000 0.5000 0.0000
Zn 0.5000 0.0000 0.0000
Si 0.5000 0.5000 0.5000
Ba 0.0000 0.0000 0.5000
Tc 0.0000 0.0000 0.0000

=====

This record from the Alexandria database describes crystalline Tc2IO2 at its relaxed geometry. The functional is PBEsol.

Output
Formation energy without anion corrections = -0.59 eV/f.u.
Volume = 14.7 A^3/atom
SG = I4/mmm

Lattice parameters (Å, degrees): 3.8781 3.8781 5.5977 110.27 110.27 90.00
Fractional positions:
I 0.0000 0.0000 0.0000
Tc 0.2500 0.7500 0.5000
Tc 0.7500 0.2500 0.5000
O 0.3264 0.3264 0.6529
O 0.6736 0.6736 0.3471